This record from Alexandria via LeMat-Bulk describes a geometry-optimized Mg2CdPb7 structure. The functional is PBE-GGA.

Structure (POSCAR):
```
Mg2CdPb7
1.0
4.9398 0.0002 0.9002
2.3901 4.3183 0.9042
0.0924 0.0407 14.7866
Mg Cd Pb
2 1 7
Direct
0.0682 0.0678 0.7907 Mg
0.9318 0.9322 0.2093 Mg
0.5000 0.5000 0.5000 Cd
0.7069 0.7068 0.8804 Pb
0.5750 0.5755 0.2780 Pb
0.0000 0.0000 0.0000 Pb
0.2931 0.2932 0.1196 Pb
0.1398 0.1404 0.5790 Pb
0.8602 0.8596 0.4210 Pb
0.4250 0.4245 0.7220 Pb
```

Values from the calculation:
**Energy relative to the elements**: 0.070 eV/atom